[1]
A relaxed structure of PmSmCu. Source: Alexandria, functional PBE.

Cell lengths 7.0052, 7.0052, 7.0052 Å; angles 90.00, 90.00, 90.00 degrees
Space group F-43m (No. 216)
One atom of each set of equivalent atoms:
Pm: 0.0000 0.0000 0.0000 (multiplicity 4)
Sm: 0.0000 0.0000 0.5000 (multiplicity 4)
Cu: 0.2500 0.2500 0.2500 (multiplicity 4)

- Energy above the lowest structure with this stoichiometry: 0.225 eV per atom
- Energy of formation: 0.112 eV per atom



[2]
A relaxed structure of SiAu2Cl. Source: Alexandria, functional PBE.

Cell lengths 5.4960, 11.1707, 3.0966 Å; angles 90.00, 124.00, 90.00 degrees
Space group C2/m (No. 12)
One atom of each set of equivalent atoms:
Si: 0.0000 0.0000 0.0000 (multiplicity 2)
Au: 0.2500 0.2500 0.0000 (multiplicity 4)
Cl: 0.0000 0.5000 0.0000 (multiplicity 2)

- Energy above the lowest structure with this stoichiometry: 0.356 eV per atom
- Formation energy from raw total energies: 0.28 eV per atom



[3]
A relaxed structure of UBP. Source: Alexandria, functional PBE.

Cell lengths 3.4552, 7.7744, 6.5573 Å; angles 90.00, 90.00, 90.00 degrees
Space group Imma (No. 74)
One atom of each set of equivalent atoms:
U: 0.0000 0.0000 0.0000 (multiplicity 4)
B: 0.0000 0.2500 0.2993 (multiplicity 4)
P: 0.0000 0.2500 0.6053 (multiplicity 4)

- Energy above the lowest structure with this stoichiometry: 0.036 eV per atom
- Energy of formation: -0.464 eV per atom



[4]
A relaxed structure of AcAlZn2Pd4. Source: Alexandria, functional PBE.

Cell lengths 4.3379, 4.3379, 26.9615 Å; angles 90.00, 90.00, 120.00 degrees
Space group R-3m (No. 166, hexagonal axes)
One atom of each set of equivalent atoms:
Ac: 0.0000 0.0000 0.0000 (multiplicity 3)
Al: 0.0000 0.0000 0.5000 (multiplicity 3)
Zn: 0.0000 0.0000 0.2356 (multiplicity 6)
Pd: 0.0000 0.0000 0.1350 (multiplicity 6)
Pd: 0.0000 0.0000 0.4063 (multiplicity 6)

- Energy of formation: -0.700 eV per atom



[5]
A relaxed structure of ThTcW. Source: Alexandria, functional PBE.

Cell lengths 5.3799, 9.3452, 19.5672 Å; angles 90.00, 90.00, 90.00 degrees
Space group Fddd (No. 70, origin choice 2)
One atom of each set of equivalent atoms:
Th: 0.1250 0.2981 0.1250 (multiplicity 16)
Tc: 0.1250 0.1250 0.5607 (multiplicity 16)
W: 0.1250 0.1250 0.2506 (multiplicity 16)

- Energy of formation: 0.528 eV per atom



[6]
A relaxed structure of RbTaTl2I8. Source: Alexandria, functional PBE.

Cell lengths 7.2121, 8.3801, 10.2905 Å; angles 89.98, 89.98, 69.94 degrees
Space group P-1 (No. 2)
One atom of each set of equivalent atoms:
Rb: 0.0000 0.0000 0.0000 (multiplicity 1)
Ta: 0.0000 0.0000 0.5000 (multiplicity 1)
Tl: 0.0010 0.4997 0.2325 (multiplicity 2)
I: 0.2310 0.2016 0.5004 (multiplicity 2)
I: 0.2419 0.7933 0.6896 (multiplicity 2)
I: 0.2424 0.7939 0.3104 (multiplicity 2)
I: 0.2885 0.2840 0.9995 (multiplicity 2)

- Formation energy from raw total energies: -0.66 eV per atom



[7]
A relaxed structure of ScP3Os. Source: Alexandria, functional PBE.

Cell lengths 4.6283, 4.6283, 4.6283 Å; angles 90.00, 90.00, 90.00 degrees
Space group Pm-3m (No. 221)
One atom of each set of equivalent atoms:
Sc: 0.0000 0.0000 0.0000 (multiplicity 1)
P: 0.0000 0.5000 0.5000 (multiplicity 3)
Os: 0.5000 0.5000 0.5000 (multiplicity 1)

- Energy above the lowest structure with this stoichiometry: 0.000 eV per atom
- Energy of formation: 0.386 eV per atom



[8]
A relaxed structure of KZr2Hg. Source: Alexandria, functional PBE.

Cell lengths 4.3230, 4.3230, 11.3243 Å; angles 90.00, 90.00, 90.00 degrees
Space group I4/mmm (No. 139)
One atom of each set of equivalent atoms:
K: 0.0000 0.0000 0.0000 (multiplicity 2)
Zr: 0.0000 0.5000 0.2500 (multiplicity 4)
Hg: 0.0000 0.0000 0.5000 (multiplicity 2)

- Energy of formation: 0.677 eV per atom



| no. | electronic total energy (eV/atom) |
| --- | --- |
| 1 | -4.410 |
| 2 | -3.178 |
| 3 | -8.256 |
| 4 | -4.596 |
| 5 | -9.719 |
| 6 | -3.157 |
| 7 | -6.373 |
| 8 | -3.947 |